This record from the Alexandria database describes an optimized crystal structure of TeIr2Cl. The functional is GGA-PBEsol.

Output
E_form (uncorrected) = 3.1 eV/f.u.
Final energy = -5.52 eV/atom
Density of states at the Fermi level = 0.75 states/eV/atom
Crystal system = monoclinic

Cell: 5.707 9.216 2.917 Å, 90.00 118.99 90.00°
Space group C2/m (No. 12)
Asymmetric unit:
Te1 0.000 0.000 0.000
Ir1 0.250 0.250 0.000
Cl1 0.000 0.500 0.000



This record from the Alexandria database describes an optimized crystal structure of Re2BiC. The functional is GGA-PBEsol.

Output
Calculated formation energy = 2025 meV per atom
Final energy = -8.12 eV/atom
Density of states at the Fermi level = 1.04 states/eV/atom
Crystal system = cubic

Cell: 6.193 6.193 6.193 Å, 90.00 90.00 90.00°
Space group Fm-3m (No. 225)
Asymmetric unit:
Re1 0.250 0.250 0.250
Bi1 0.000 0.000 0.000
C1 0.000 0.000 0.500



This record from the Alexandria database describes an optimized crystal structure of CuRuSe2. The functional is GGA-PBEsol.

Output
E_form (uncorrected) = 0.1 eV/f.u.
Final energy = -5.53 eV/atom
Density of states at the Fermi level = 0.72 states/eV/atom
Crystal system = tetragonal

Cell: 3.229 3.229 6.437 Å, 90.00 90.00 90.00°
Space group P4mm (No. 99)
Asymmetric unit:
Cu1 0.000 0.000 0.000
Ru1 0.500 0.500 0.244
Se1 0.000 0.000 0.415
Se2 0.500 0.500 0.856



This record from the Alexandria database describes an optimized crystal structure of In2SeCl. The functional is GGA-PBEsol.

Output
E_form (uncorrected) = -2.1 eV/f.u.
Final energy = -3.49 eV/atom
Density of states at the Fermi level = 0.24 states/eV/atom
Crystal system = trigonal

Cell: 3.9350 3.9350 24.2462 Å, 90.00 90.00 120.00°
Space group R3m (No. 160, hexagonal axes)
Asymmetric unit:
In1 0.0000 0.0000 0.0000
In2 0.0000 0.0000 0.2430
Se1 0.0000 0.0000 0.7223
Cl1 0.0000 0.0000 0.5105



This record from the Alexandria database describes an optimized crystal structure of HgIr2W. The functional is GGA-PBEsol.

Output
Calculated formation energy = 317 meV per atom
Final energy = -8.19 eV/atom
Density of states at the Fermi level = 1.26 states/eV/atom
Crystal system = tetragonal

Cell: 2.782 2.782 8.107 Å, 90.00 90.00 90.00°
Space group P4mm (No. 99)
Asymmetric unit:
Hg1 0.000 0.000 0.000
Ir1 0.000 0.000 0.495
Ir2 0.500 0.500 0.260
W1 0.500 0.500 0.725



This record from the Alexandria database describes an optimized crystal structure of Si2NO. The functional is GGA-PBEsol.

Output
E_form (uncorrected) = -1.0 eV/f.u.
Final energy = -6.57 eV/atom
Density of states at the Fermi level = 0.24 states/eV/atom
Crystal system = tetragonal

Cell: 3.842 3.842 11.295 Å, 90.00 90.00 90.00°
Space group I-42d (No. 122)
Asymmetric unit:
Si1 0.243 0.250 0.125
N1 0.000 0.000 0.000
O1 0.000 0.000 0.500



> Among the records above, which one has the highest density of states at the Fermi level?

HgIr2W